[1]
An optimized crystal structure of NaTbDy4Se8. Source: Alexandria, functional PBE.

## Properties
magnetic moment	0.00	μB/f.u.
E	-77.02	eV/cell
volume	429	Å³/f.u.
raw formation energy	-1.77	eV per atom
DOS(E_F)	0.0000	states/eV/atom

Lattice parameters (Å, degrees): 8.459 8.459 8.473 60.05 60.05 60.00
Element x y z (fractional)
Na  0.375  0.375  0.876
Tb  0.005  0.005  0.985
Dy  0.625  0.625  0.125
Dy  0.005  0.485  0.505
Dy  0.485  0.005  0.505
Dy  0.005  0.005  0.505
Se  0.241  0.780  0.739
Se  0.780  0.241  0.739
Se  0.241  0.241  0.739
Se  0.240  0.240  0.280
Se  0.758  0.226  0.259
Se  0.226  0.758  0.259
Se  0.758  0.758  0.259
Se  0.758  0.758  0.726

[2]
An optimized crystal structure of NaCd4Au12. Source: Alexandria, functional PBE.

## Properties
magnetic moment	0.00	μB/f.u.
E	-40.72	eV/cell
volume	411	Å³/f.u.
ΔH_f (0 K)	0.211	eV/atom
DOS(E_F)	0.3714	states/eV/atom

Lattice parameters (Å, degrees): 8.114 8.114 8.114 109.47 109.47 109.47
Element x y z (fractional)
Na  0.000  0.000  0.000
Cd  0.000  0.500  0.000
Cd  0.500  0.000  0.000
Cd  0.500  0.500  0.500
Cd  0.000  0.000  0.500
Au  0.854  0.355  0.209
Au  0.355  0.501  0.146
Au  0.791  0.146  0.645
Au  0.355  0.209  0.854
Au  0.209  0.854  0.355
Au  0.645  0.499  0.854
Au  0.501  0.146  0.355
Au  0.499  0.854  0.645
Au  0.645  0.791  0.146
Au  0.854  0.645  0.499
Au  0.146  0.355  0.501
Au  0.146  0.645  0.791

[3]
An optimized crystal structure of Nd3DyNi. Source: Alexandria, functional PBE.

## Properties
magnetic moment	0.13	μB/f.u.
E	-24.38	eV/cell
volume	164	Å³/f.u.
ΔH_f (0 K)	0.062	eV/atom
DOS(E_F)	2.4461	states/eV/atom

Lattice parameters (Å, degrees): 5.469 5.469 5.469 90.00 90.00 90.00
Element x y z (fractional)
Ni  0.000  0.000  0.000
Nd  0.000  0.500  0.000
Nd  0.000  0.000  0.500
Nd  0.500  0.000  0.000
Dy  0.500  0.500  0.500

[4]
An optimized crystal structure of CrIrCl. Source: Alexandria, functional PBE.

## Properties
magnetic moment	2.35	μB/f.u.
E	-18.42	eV/cell
volume	45	Å³/f.u.
raw formation energy	0.64	eV per atom
energy relative to the lowest polymorph listed for this composition	541	meV/atom
DOS(E_F)	1.2644	states/eV/atom

Lattice parameters (Å, degrees): 4.156 4.156 2.976 90.00 90.00 120.00
Element x y z (fractional)
Cr  0.333  0.667  0.268
Ir  0.667  0.333  0.699
Cl  0.000  0.000  0.033